# K4Mn3AgF12

A relaxed structure of K4Mn3AgF12 (GGA+U, the Alexandria database).

DFT total energy: -206.7 eV per cell
size of the total moment: 14.00 μB per formula unit
calculated volume: 15.85 Å³ per atom
crystal system: cubic

Cell lengths 8.5899, 8.5899, 8.5899 Å; angles 90.00, 90.00, 90.00 degrees
Space group Im-3m (No. 229)
One atom of each set of equivalent atoms:
K  0.2500  0.2500  0.2500
Mn  0.0000  0.0000  0.5000
Ag  0.0000  0.0000  0.0000
F  0.0000  0.0000  0.2675
F  0.0000  0.2500  0.5000